{
  "formula": "LiSb2Pb2",
  "functional": "GGA-PBE",
  "state": "relaxed",
  "lattice_angstrom": [[4.653, 0.000, 0.000], [2.301, 6.183, 0.000], [2.293, 1.587, 10.096]],
  "species": ["Li", "Li", "Sb", "Sb", "Sb", "Sb", "Pb", "Pb", "Pb", "Pb"],
  "fractional_positions": [[0.187, 0.025, 0.103], [0.813, 0.975, 0.897], [0.174, 0.794, 0.368], [0.437, 0.708, 0.914], [0.563, 0.292, 0.086], [0.826, 0.206, 0.632], [0.155, 0.367, 0.823], [0.394, 0.284, 0.417], [0.606, 0.716, 0.583], [0.845, 0.633, 0.177]],
  "m_tot_mub_per_cell": 0.000,
  "vol_a3_per_atom": 29.04,
  "density_g_cm3": 7.60,
  "e_form_raw_ev_per_atom": -0.120,
  "spacegroup": "P-1 (2)",
  "relative_energy_ev_per_fu": 0.000
}